CeErNi2: relaxed, PBE-GGA.

Calculated values
The calculation puts the energy of formation from the pure elements at -337 meV/atom. The calculated total energy comes out at -5.852 eV per atom.

Lattice parameters (Å, degrees): 4.7950 4.7950 3.3482 90.00 90.00 90.00
With the nearest neighbours (Å) after each atom.
Space group P4/mmm (No. 123)
Asymmetric unit:
Ce  0.0000  0.0000  0.0000 [1 per cell]  8 Ni 2.92
Er  0.5000  0.5000  0.0000 [1 per cell]  8 Ni 2.92
Ni  0.0000  0.5000  0.5000 [2 per cell]  4 Ce 2.92, 4 Er 2.92